Entry 1:
An optimized crystal structure of HfTcNiPb, computed with GGA-PBE.

Output
- Calculated volume: 66.8 Å³/cell
- Relative energy among the computed polymorphs: 0.0 kJ/mol of atoms

abc: 4.5540 4.5540 4.5540
angles: 60.00 60.00 60.00
With the nearest neighbours (Å) after each atom.
Element x y z (fractional)
Hf 0.0000 0.0000 0.0000  4 Tc 2.79, 4 Ni 2.79
Tc 0.7500 0.7500 0.7500  4 Hf 2.79, 4 Pb 2.79
Ni 0.2500 0.2500 0.2500  4 Hf 2.79, 4 Pb 2.79
Pb 0.5000 0.5000 0.5000  4 Tc 2.79, 4 Ni 2.79

=====

Entry 2:
An optimized crystal structure of TmTaPO, computed with GGA-PBE.

Output
- Calculated volume: 147.9 Å³/cell
- Relative energy among the computed polymorphs: 47.2 kJ/mol of atoms

abc: 3.7582 7.0141 5.6116
angles: 90.00 90.00 90.00
With the nearest neighbours (Å) after each atom.
Element x y z (fractional)
Tm 0.0000 0.2168 0.0000  2 O 2.15
Tm 0.0000 0.7832 0.5000  2 O 2.15
Ta 0.5000 0.4049 0.4991  2 O 2.10-2.13
Ta 0.5000 0.5951 0.9991  2 O 2.10-2.13
P 0.0000 0.1720 0.4841  2 Ta 2.49, 2 Tm 2.73
P 0.0000 0.8280 0.9841  2 Ta 2.49, 2 Tm 2.73
O 0.5000 0.3173 0.8616  2 Ta 2.10-2.13, 2 Tm 2.15
O 0.5000 0.6827 0.3616  2 Ta 2.10-2.13, 2 Tm 2.15

=====

Entry 3:
An optimized crystal structure of CsK2Li2ReO6, computed with GGA-PBE.

Output
- Calculated volume: 192.6 Å³/cell
- Relative energy among the computed polymorphs: 0.0 kJ/mol of atoms

abc: 6.4842 6.4842 5.3425
angles: 96.52 96.52 118.44
With the nearest neighbours (Å) after each atom.
Element x y z (fractional)
Cs 0.0000 0.0000 0.0000  6 O 2.80-2.82
K 0.1807 0.8193 0.5000  4 O 2.57-2.87
K 0.8193 0.1807 0.5000  4 O 2.57-2.87
Li 0.3951 0.6049 0.0000  4 O 2.02-2.07
Li 0.6049 0.3951 0.0000  4 O 2.02-2.07
Re 0.5000 0.5000 0.5000  6 O 1.90-1.92
O 0.2252 0.4702 0.2866  1 Re 1.92, 1 Li 2.02
O 0.3124 0.3124 0.7228  1 Re 1.90, 2 Li 2.07
O 0.4702 0.2252 0.2866  1 Re 1.92, 1 Li 2.02
O 0.5298 0.7748 0.7134  1 Re 1.92, 1 Li 2.02
O 0.6876 0.6876 0.2772  1 Re 1.90, 2 Li 2.07
O 0.7748 0.5298 0.7134  1 Re 1.92, 1 Li 2.02

=====

Entry 4:
An optimized crystal structure of Be4Pt3, computed with GGA-PBE.

Output
- Total energy: -75.33 eV for the cell shown
- Calculated volume: 156.7 Å³/cell

abc: 6.3003 6.3003 6.3003
angles: 113.57 113.57 113.57
With the nearest neighbours (Å) after each atom.
Element x y z (fractional)
Be 0.0000 0.0000 0.0000  8 Be 2.43-2.44
Be 0.0727 0.7881 0.6462  7 Pt 2.39-2.50, 1 Be 2.43
Be 0.2119 0.3538 0.9273  7 Pt 2.39-2.50, 1 Be 2.43
Be 0.3538 0.9273 0.2119  7 Pt 2.39-2.50, 1 Be 2.43
Be 0.5000 0.5000 0.5000  6 Pt 2.40, 2 Be 2.44
Be 0.6462 0.0727 0.7881  7 Pt 2.39-2.50, 1 Be 2.43
Be 0.7881 0.6462 0.0727  7 Pt 2.39-2.50, 1 Be 2.43
Be 0.9273 0.2119 0.3538  7 Pt 2.39-2.50, 1 Be 2.43
Pt 0.1396 0.5575 0.2783  8 Be 2.39-2.50
Pt 0.2783 0.1396 0.5575  8 Be 2.39-2.50
Pt 0.4425 0.7217 0.8604  8 Be 2.39-2.50
Pt 0.5575 0.2783 0.1396  8 Be 2.39-2.50
Pt 0.7217 0.8604 0.4425  8 Be 2.39-2.50
Pt 0.8604 0.4425 0.7217  8 Be 2.39-2.50

=====

- Which formula does entry 4 have?
  Be4Pt3

=====

- Among the records above, which one has the highest calculated volume?
  CsK2Li2ReO6

=====

- The lowest calculated volume belongs to which entry?
  HfTcNiPb

=====

- Which value of calculated volume does entry 2 give?
  147.9 Å³/cell